1.
Computed, not measured: a relaxed structure of SrAcZnAg at the PBE level of DFT.

Lattice parameters (Å, degrees): 5.5530 5.5530 5.5530 60.00 60.00 60.00
Closest atoms and distances in Å follow each position.
Atoms (fractional coordinates):
Zn: 0.7500 0.7500 0.7500  4 Ac 3.40, 4 Sr 3.40
Ag: 0.2500 0.2500 0.2500  4 Ac 3.40, 4 Sr 3.40
Ac: 0.5000 0.5000 0.5000  4 Zn 3.40, 4 Ag 3.40
Sr: 0.0000 0.0000 0.0000  4 Ag 3.40, 4 Zn 3.40

Values from the calculation:
Calculated formation energy (kJ/mol of formula units): -89
Polymorph energy (0 for the lowest one) (eV per atom): 0.0130
Volume (Å³/atom): 30.27
Magnetization (μB/atom): 0.00
SG: F-43m, No. 216
Density (Mg/m³): 6.7


2.
Computed, not measured: a relaxed structure of SrAcZn2Ag2 at the PBE level of DFT.

Lattice parameters (Å, degrees): 4.7318 4.7318 8.1732 90.00 90.00 120.00
Closest atoms and distances in Å follow each position.
Atoms (fractional coordinates):
Zn: 0.3333 0.6667 0.2456  3 Ag 2.73
Zn: 0.6667 0.3333 0.7544  3 Ag 2.73
Sr: 0.0000 0.0000 0.5000  6 Ag 3.43, 6 Zn 3.43
Ag: 0.6667 0.3333 0.2466  3 Zn 2.73
Ag: 0.3333 0.6667 0.7534  3 Zn 2.73
Ac: 0.0000 0.0000 0.0000  6 Zn 3.39, 6 Ag 3.40

Values from the calculation:
Calculated formation energy (kJ/mol of formula units): -174
Volume (Å³/atom): 26.41
Magnetization (μB/atom): 0.00
SG: P-3m1, No. 164
Density (Mg/m³): 6.9


3.
Computed, not measured: a relaxed structure of SrAcZnAg at the PBE level of DFT.

Lattice parameters (Å, degrees): 3.9399 3.9399 7.8422 90.00 90.00 90.00
Closest atoms and distances in Å follow each position.
Atoms (fractional coordinates):
Zn: 0.0000 0.0000 0.3642  4 Ac 3.36, 4 Sr 3.43
Ac: 0.5000 0.5000 0.6044  4 Zn 3.36, 4 Ag 3.39
Sr: 0.5000 0.5000 0.1093  4 Zn 3.43, 4 Ag 3.45
Ag: 0.0000 0.0000 0.8501  4 Ac 3.39, 4 Sr 3.45

Values from the calculation:
Calculated formation energy (kJ/mol of formula units): -94
Polymorph energy (0 for the lowest one) (eV per atom): 0.0000
Volume (Å³/atom): 30.43
Magnetization (μB/atom): 0.00
SG: P4mm, No. 99
Density (Mg/m³): 6.7


4.
Computed, not measured: a relaxed structure of Ac2TaAg at the PBE level of DFT.

Lattice parameters (Å, degrees): 3.4306 3.4306 11.8338 81.67 81.67 60.00
Closest atoms and distances in Å follow each position.
Atoms (fractional coordinates):
Ac: 0.0874 0.0874 0.7378  1 Ta 3.06, 3 Ag 3.41
Ac: 0.9126 0.9126 0.2622  1 Ta 3.06, 3 Ag 3.41
Ta: 0.0000 0.0000 0.0000  2 Ac 3.06
Ag: 0.5000 0.5000 0.5000  6 Ac 3.41, 6 Ag 3.43

Values from the calculation:
Calculated formation energy (kJ/mol of formula units): 341
Volume (Å³/atom): 29.73
Magnetization (μB/atom): 0.00
SG: R-3m, No. 166
Density (Mg/m³): 10.4


5.
Computed, not measured: a relaxed structure of Ac2TbAg4 at the PBE level of DFT.

Lattice parameters (Å, degrees): 5.6198 5.6198 7.7090 111.38 111.38 90.00
Closest atoms and distances in Å follow each position.
Atoms (fractional coordinates):
Ag: 0.1079 0.6079 0.2158  1 Ag 2.85, 2 Ac 3.15, 2 Tb 3.15
Ag: 0.6079 0.1079 0.2158  1 Ag 2.85, 2 Ac 3.15, 2 Tb 3.15
Ag: 0.8921 0.3921 0.7842  1 Ag 2.85, 2 Ac 3.15, 2 Tb 3.15
Ag: 0.3921 0.8921 0.7842  1 Ag 2.85, 2 Ac 3.15, 2 Tb 3.15
Ac: 0.2850 0.2850 0.5700  4 Ag 3.15
Ac: 0.7150 0.7150 0.4300  4 Ag 3.15
Tb: 0.0000 0.0000 0.0000  8 Ag 3.15

Values from the calculation:
Calculated formation energy (kJ/mol of formula units): -71
Volume (Å³/atom): 29.80
Magnetization (μB/atom): 0.00
SG: I4/mmm, No. 139
Density (Mg/m³): 8.3


6.
Computed, not measured: a relaxed structure of Ac12Tb5Ag3 at the PBE level of DFT.

Lattice parameters (Å, degrees): 16.8817 16.8817 16.8817 109.47 109.47 109.47
Closest atoms and distances in Å follow each position.
Atoms (fractional coordinates):
Tb: 0.1250 0.3750 0.2500  4 Ac 3.41
Tb: 0.0000 0.0000 0.0000  6 Ac 3.34
Tb: 0.5000 0.0000 0.0000  6 Ac 3.34
Tb: 0.7500 0.6250 0.3750  4 Ac 3.41
Tb: 0.8750 0.6250 0.7500  4 Ac 3.41
Tb: 0.0000 0.0000 0.5000  6 Ac 3.34
Tb: 0.8750 0.2500 0.6250  4 Ac 3.41
Tb: 0.5000 0.5000 0.5000  6 Ac 3.34
Tb: 0.6250 0.8750 0.2500  4 Ac 3.41
Tb: 0.5000 0.0000 0.5000  6 Ac 3.34
Tb: 0.3750 0.1250 0.7500  4 Ac 3.41
Tb: 0.5000 0.5000 0.0000  6 Ac 3.34
Tb: 0.0000 0.5000 0.0000  6 Ac 3.34
Tb: 0.1250 0.7500 0.3750  4 Ac 3.41
Tb: 0.2500 0.3750 0.6250  4 Ac 3.41
Tb: 0.2500 0.8750 0.1250  4 Ac 3.41
Tb: 0.3750 0.2500 0.1250  4 Ac 3.41
Tb: 0.0000 0.5000 0.5000  6 Ac 3.34
Tb: 0.7500 0.1250 0.8750  4 Ac 3.41
Tb: 0.6250 0.7500 0.8750  4 Ac 3.41
Ac: 0.6297 0.0725 0.2341  1 Ag 3.19, 2 Tb 3.34-3.41
Ac: 0.3956 0.1297 0.5572  1 Ag 3.19, 2 Tb 3.34-3.41
Ac: 0.8703 0.2659 0.4275  1 Ag 3.19, 2 Tb 3.34-3.41
Ac: 0.6616 0.4275 0.5572  1 Ag 3.19, 2 Tb 3.34-3.41
Ac: 0.5572 0.9275 0.6616  1 Ag 3.19, 2 Tb 3.34-3.41
Ac: 0.4275 0.7659 0.8703  1 Ag 3.19, 2 Tb 3.34-3.41
Ac: 0.3703 0.4428 0.1044  1 Ag 3.19, 2 Tb 3.34-3.41
Ac: 0.6044 0.7341 0.6616  1 Ag 3.19, 2 Tb 3.34-3.41
Ac: 0.8384 0.8956 0.2659  1 Ag 3.19, 2 Tb 3.34-3.41
Ac: 0.4428 0.0725 0.3384  1 Ag 3.19, 2 Tb 3.34-3.41
Ac: 0.2659 0.8703 0.9275  1 Ag 3.19, 2 Tb 3.34-3.41
Ac: 0.5725 0.3384 0.9428  1 Ag 3.19, 2 Tb 3.34-3.41
Ac: 0.5572 0.6297 0.3956  1 Ag 3.19, 2 Tb 3.34-3.41
Ac: 0.9428 0.1044 0.8703  1 Ag 3.19, 2 Tb 3.34-3.41
Ac: 0.7341 0.6044 0.1616  1 Ag 3.19, 2 Tb 3.34-3.41
Ac: 0.0572 0.1616 0.4275  1 Ag 3.19, 2 Tb 3.34-3.41
Ac: 0.7659 0.4275 0.3703  1 Ag 3.19, 2 Tb 3.34-3.41
Ac: 0.8384 0.9428 0.0725  1 Ag 3.19, 2 Tb 3.34-3.41
Ac: 0.4275 0.6616 0.0572  1 Ag 3.19, 2 Tb 3.34-3.41
Ac: 0.1616 0.0572 0.9275  1 Ag 3.19, 2 Tb 3.34-3.41
Ac: 0.1044 0.9428 0.3703  1 Ag 3.19, 2 Tb 3.34-3.41
Ac: 0.0572 0.8956 0.1297  1 Ag 3.19, 2 Tb 3.34-3.41
Ac: 0.1044 0.1616 0.2341  1 Ag 3.19, 2 Tb 3.34-3.41
Ac: 0.6044 0.8703 0.4428  1 Ag 3.19, 2 Tb 3.34-3.41
Ac: 0.7341 0.1297 0.0725  1 Ag 3.19, 2 Tb 3.34-3.41
Ac: 0.2341 0.5725 0.6297  1 Ag 3.19, 2 Tb 3.34-3.41
Ac: 0.9428 0.8384 0.5725  1 Ag 3.19, 2 Tb 3.34-3.41
Ac: 0.3384 0.7659 0.3956  1 Ag 3.19, 2 Tb 3.34-3.41
Ac: 0.9275 0.3703 0.2659  1 Ag 3.19, 2 Tb 3.34-3.41
Ac: 0.7659 0.3384 0.8956  1 Ag 3.19, 2 Tb 3.34-3.41
Ac: 0.8703 0.6044 0.9428  1 Ag 3.19, 2 Tb 3.34-3.41
Ac: 0.3703 0.9275 0.7659  1 Ag 3.19, 2 Tb 3.34-3.41
Ac: 0.0725 0.6297 0.7341  1 Ag 3.19, 2 Tb 3.34-3.41
Ac: 0.0725 0.4428 0.8384  1 Ag 3.19, 2 Tb 3.34-3.41
Ac: 0.1297 0.3956 0.0572  1 Ag 3.19, 2 Tb 3.34-3.41
Ac: 0.5725 0.2341 0.1297  1 Ag 3.19, 2 Tb 3.34-3.41
Ac: 0.6297 0.5572 0.8956  1 Ag 3.19, 2 Tb 3.34-3.41
Ac: 0.2341 0.6616 0.1044  1 Ag 3.19, 2 Tb 3.34-3.41
Ac: 0.9275 0.5572 0.1616  1 Ag 3.19, 2 Tb 3.34-3.41
Ac: 0.8956 0.0572 0.6297  1 Ag 3.19, 2 Tb 3.34-3.41
Ac: 0.3956 0.2659 0.3384  1 Ag 3.19, 2 Tb 3.34-3.41
Ac: 0.1616 0.1044 0.7341  1 Ag 3.19, 2 Tb 3.34-3.41
Ac: 0.3384 0.5725 0.4428  1 Ag 3.19, 2 Tb 3.34-3.41
Ac: 0.1297 0.7341 0.5725  1 Ag 3.19, 2 Tb 3.34-3.41
Ac: 0.8956 0.8384 0.7659  1 Ag 3.19, 2 Tb 3.34-3.41
Ac: 0.6616 0.2341 0.6044  1 Ag 3.19, 2 Tb 3.34-3.41
Ac: 0.4428 0.3703 0.6044  1 Ag 3.19, 2 Tb 3.34-3.41
Ac: 0.2659 0.3956 0.8384  1 Ag 3.19, 2 Tb 3.34-3.41
Ag: 0.6250 0.2500 0.3750  4 Ac 3.19
Ag: 0.8750 0.1250 0.2500  4 Ac 3.19
Ag: 0.1250 0.8750 0.7500  4 Ac 3.19
Ag: 0.2500 0.1250 0.3750  4 Ac 3.19
Ag: 0.1250 0.2500 0.8750  4 Ac 3.19
Ag: 0.2500 0.6250 0.8750  4 Ac 3.19
Ag: 0.7500 0.8750 0.6250  4 Ac 3.19
Ag: 0.7500 0.3750 0.1250  4 Ac 3.19
Ag: 0.6250 0.3750 0.7500  4 Ac 3.19
Ag: 0.8750 0.7500 0.1250  4 Ac 3.19
Ag: 0.3750 0.6250 0.2500  4 Ac 3.19
Ag: 0.3750 0.7500 0.6250  4 Ac 3.19

Values from the calculation:
Calculated formation energy (kJ/mol of formula units): 1502
Volume (Å³/atom): 46.30
Magnetization (μB/atom): 0.00
SG: Ia-3d, No. 230
Density (Mg/m³): 6.9


7.
Computed, not measured: a relaxed structure of AcTbAg4 at the PBE level of DFT.

Lattice parameters (Å, degrees): 4.8245 4.8245 8.8572 74.23 74.23 120.00
Closest atoms and distances in Å follow each position.
Atoms (fractional coordinates):
Ag: 0.5483 0.8774 0.2848  3 Ag 2.78-2.79
Ag: 0.4543 0.1171 0.7115  3 Ag 2.78-2.79
Ag: 0.1212 0.4502 0.7116  3 Ag 2.78-2.79
Ag: 0.8815 0.5444 0.2847  3 Ag 2.78-2.79
Ac: 0.5012 0.4973 0.9981  12 Ag 3.50-3.51, 2 Tb 3.72
Tb: 0.0013 0.9973 0.4981  12 Ag 3.20-3.21

Values from the calculation:
Calculated formation energy (kJ/mol of formula units): -167
Polymorph energy (0 for the lowest one) (eV per atom): 0.0000
Volume (Å³/atom): 24.98
Magnetization (μB/atom): 0.00
SG: C2/m, No. 12
Density (Mg/m³): 9.1


8.
Computed, not measured: a relaxed structure of Ac2TbAg at the PBE level of DFT.

Lattice parameters (Å, degrees): 3.7773 3.7773 12.4595 81.28 81.28 60.00
Closest atoms and distances in Å follow each position.
Atoms (fractional coordinates):
Ac: 0.0851 0.0851 0.7446  1 Ag 3.13
Ac: 0.9149 0.9149 0.2554  1 Ag 3.13
Tb: 0.5000 0.5000 0.5000  6 Ac 3.71, 6 Tb 3.78
Ag: 0.0000 0.0000 0.0000  2 Ac 3.13

Values from the calculation:
Calculated formation energy (kJ/mol of formula units): 118
Polymorph energy (0 for the lowest one) (eV per atom): 0.3887
Volume (Å³/atom): 37.89
Magnetization (μB/atom): 0.00
SG: R-3m, No. 166
Density (Mg/m³): 7.9